VASP calculation (PBE) on a relaxed Pu2NbRu crystal.

Unit cell a=3.5835 b=3.5835 c=5.3872 alpha=90.00 beta=90.00 gamma=90.00
Atoms (fractional coordinates):
Pu: 0.0000 0.5000 0.0000
Pu: 0.5000 0.0000 0.0000
Nb: 0.0000 0.0000 0.5000
Ru: 0.5000 0.5000 0.5000

Summary:
* energy relative to the elements: 0.3355 eV per atom
* excess energy over the best structure of this formula in the dataset: 0 meV/atom

VASP calculation (PBE) on a relaxed Pu2NbSi2Ru5 crystal.

Unit cell a=10.1430 b=10.1430 c=3.2188 alpha=90.00 beta=90.00 gamma=90.00
Atoms (fractional coordinates):
Pu: 0.1741 0.3259 0.0000
Pu: 0.3259 0.8259 0.0000
Pu: 0.6741 0.1741 0.0000
Pu: 0.8259 0.6741 0.0000
Nb: 0.0000 0.0000 0.0000
Nb: 0.5000 0.5000 0.0000
Si: 0.1257 0.6257 0.0000
Si: 0.3743 0.1257 0.0000
Si: 0.6257 0.8743 0.0000
Si: 0.8743 0.3743 0.0000
Ru: 0.0000 0.5000 0.5000
Ru: 0.0659 0.7919 0.5000
Ru: 0.2081 0.0659 0.5000
Ru: 0.2919 0.5659 0.5000
Ru: 0.4341 0.2919 0.5000
Ru: 0.5000 0.0000 0.5000
Ru: 0.5659 0.7081 0.5000
Ru: 0.7081 0.4341 0.5000
Ru: 0.7919 0.9341 0.5000
Ru: 0.9341 0.2081 0.5000

Summary:
* formation energy without anion corrections: -0.418 eV per atom

VASP calculation (PBE) on a relaxed PuTaNbRu crystal.

Unit cell a=4.6818 b=4.6818 c=4.6818 alpha=60.00 beta=60.00 gamma=60.00
Atoms (fractional coordinates):
Pu: 0.0000 0.0000 0.0000
Ta: 0.5000 0.5000 0.5000
Nb: 0.2500 0.2500 0.2500
Ru: 0.7500 0.7500 0.7500

Summary:
* energy relative to the elements: -0.0198 eV per atom

VASP calculation (PBE) on a relaxed PuNbTcRu crystal.

Unit cell a=4.6268 b=4.6268 c=4.6268 alpha=60.00 beta=60.00 gamma=60.00
Atoms (fractional coordinates):
Pu: 0.0000 0.0000 0.0000
Nb: 0.5000 0.5000 0.5000
Tc: 0.7500 0.7500 0.7500
Ru: 0.2500 0.2500 0.2500

Summary:
* energy relative to the elements: -0.0982 eV per atom

no.,raw total energy (eV/atom)
1,-11.667
2,-10.014
3,-11.402
4,-11.109